Crystalline GaAgO2 at its relaxed geometry, computed with PBEsol.

Results
- Total moment: 0.0 μB/cell
- Calculated volume: 46.2 Å³/cell
- Raw total energy: -5.468 eV per atom
- Formation energy (no corrections): -1.18 eV/atom

Unit cell a=2.9591 b=2.9591 c=6.3246 alpha=76.47 beta=76.47 gamma=60.00
With the nearest neighbours (Å) after each atom.
Fractional coordinates of all 4 atoms:
1 O 0.2771 0.2771 0.1686  3 Ga 1.97, 1 Ag 2.14
2 O 0.7241 0.7241 0.8278  3 Ga 2.02
3 Ga 0.9979 0.9979 0.0063  6 O 1.97-2.02
4 Ag 0.1599 0.1599 0.5203  1 O 2.14



Crystalline GaAgO2 at its relaxed geometry, computed with PBEsol.

Results
- Total moment: 0.0 μB/cell
- Calculated volume: 95.4 Å³/cell
- Raw total energy: -5.561 eV per atom
- Formation energy (no corrections): -1.27 eV/atom

Unit cell a=2.9874 b=2.9874 c=12.3443 alpha=90.00 beta=90.00 gamma=120.00
With the nearest neighbours (Å) after each atom.
Fractional coordinates of all 8 atoms:
1 Ga 0.0000 0.0000 0.0000  6 O 2.00
2 Ga 0.0000 0.0000 0.5000  6 O 2.00
3 O 0.6667 0.3333 0.9184  3 Ga 2.00, 1 Ag 2.08
4 O 0.6667 0.3333 0.5816  3 Ga 2.00, 1 Ag 2.08
5 O 0.3333 0.6667 0.0816  3 Ga 2.00, 1 Ag 2.08
6 O 0.3333 0.6667 0.4184  3 Ga 2.00, 1 Ag 2.08
7 Ag 0.6667 0.3333 0.7500  2 O 2.08
8 Ag 0.3333 0.6667 0.2500  2 O 2.08



Crystalline GaAgP2O at its relaxed geometry, computed with PBEsol.

Results
- Total moment: 0.0 μB/cell
- Calculated volume: 89.3 Å³/cell
- Raw total energy: -3.901 eV per atom
- Formation energy (no corrections): 0.80 eV/atom
- Density of states at the Fermi level: 4.17 states/eV/cell

Unit cell a=3.8486 b=4.8161 c=4.8161 alpha=90.00 beta=90.00 gamma=90.00
With the nearest neighbours (Å) after each atom.
Fractional coordinates of all 5 atoms:
1 O 0.5000 0.0000 0.0000  2 Ag 1.92
2 P 0.0000 0.5000 0.0000  2 Ag 2.41
3 P 0.0000 0.0000 0.5000  2 Ag 2.41
4 Ag 0.0000 0.0000 0.0000  2 O 1.92
5 Ga 0.5000 0.5000 0.5000  8 P 3.08, 4 O 3.41



Crystalline Ga3AgOs at its relaxed geometry, computed with PBEsol.

Results
- Total moment: 2.0 μB/cell
- Calculated volume: 102.9 Å³/cell
- Energy of formation from the pure elements: 1.378 eV per atom
- Raw total energy: -3.732 eV per atom
- Density of states at the Fermi level: 5.06 states/eV/cell

Unit cell a=4.6853 b=4.6853 c=4.6853 alpha=90.00 beta=90.00 gamma=90.00
With the nearest neighbours (Å) after each atom.
Fractional coordinates of all 5 atoms:
1 Ga 0.0000 0.0000 0.5000  2 Ag 2.34
2 Ga 0.5000 0.0000 0.0000  2 Ag 2.34
3 Ga 0.0000 0.5000 0.0000  2 Ag 2.34
4 Ag 0.0000 0.0000 0.0000  6 Ga 2.34
5 Os 0.5000 0.5000 0.5000  12 Ga 3.31



Crystalline GaAg3Os at its relaxed geometry, computed with PBEsol.

Results
- Total moment: 1.8 μB/cell
- Calculated volume: 123.7 Å³/cell
- Energy of formation from the pure elements: 1.564 eV per atom
- Raw total energy: -3.534 eV per atom
- Density of states at the Fermi level: 4.51 states/eV/cell

Unit cell a=4.9821 b=4.9821 c=4.9821 alpha=90.00 beta=90.00 gamma=90.00
With the nearest neighbours (Å) after each atom.
Fractional coordinates of all 5 atoms:
1 Os 0.0000 0.0000 0.0000  6 Ag 2.49
2 Ga 0.5000 0.5000 0.5000  12 Ag 3.52
3 Ag 0.0000 0.5000 0.0000  2 Os 2.49
4 Ag 0.0000 0.0000 0.5000  2 Os 2.49
5 Ag 0.5000 0.0000 0.0000  2 Os 2.49



Crystalline Rb2GaAgOs at its relaxed geometry, computed with PBEsol.

Results
- Total moment: 1.5 μB/cell
- Calculated volume: 190.4 Å³/cell
- Energy of formation from the pure elements: 1.478 eV per atom
- Raw total energy: -2.705 eV per atom
- Density of states at the Fermi level: 4.77 states/eV/cell

Unit cell a=5.0282 b=6.1530 c=6.1530 alpha=90.00 beta=90.00 gamma=90.00
With the nearest neighbours (Å) after each atom.
Fractional coordinates of all 5 atoms:
1 Ga 0.5000 0.5000 0.5000  8 Rb 3.97, 4 Os 4.35
2 Os 0.5000 0.0000 0.0000  2 Ag 2.51
3 Rb 0.0000 0.5000 0.0000  2 Ag 3.08
4 Rb 0.0000 0.0000 0.5000  2 Ag 3.08
5 Ag 0.0000 0.0000 0.0000  2 Os 2.51



Crystalline Ga3AgP at its relaxed geometry, computed with PBEsol.

Results
- Total moment: 0.0 μB/cell
- Calculated volume: 111.3 Å³/cell
- Energy of formation from the pure elements: 0.596 eV per atom
- Raw total energy: -3.229 eV per atom
- Density of states at the Fermi level: 3.03 states/eV/cell

Unit cell a=4.8106 b=4.8106 c=4.8106 alpha=90.00 beta=90.00 gamma=90.00
With the nearest neighbours (Å) after each atom.
Fractional coordinates of all 5 atoms:
1 Ag 0.0000 0.0000 0.0000  6 Ga 2.41
2 Ga 0.0000 0.5000 0.0000  2 Ag 2.41
3 Ga 0.5000 0.0000 0.0000  2 Ag 2.41
4 Ga 0.0000 0.0000 0.5000  2 Ag 2.41
5 P 0.5000 0.5000 0.5000  12 Ga 3.40



Crystalline GaAg2P2 at its relaxed geometry, computed with PBEsol.

Results
- Total moment: 0.0 μB/cell
- Calculated volume: 83.9 Å³/cell
- Energy of formation from the pure elements: 0.239 eV per atom
- Raw total energy: -4.070 eV per atom
- Density of states at the Fermi level: 2.29 states/eV/cell

Unit cell a=3.2359 b=3.2359 c=8.3283 alpha=101.20 beta=101.20 gamma=90.00
With the nearest neighbours (Å) after each atom.
Fractional coordinates of all 5 atoms:
1 Ag 0.4031 0.4031 0.8062  4 Ga 2.76, 4 P 2.94
2 Ag 0.5969 0.5969 0.1938  4 Ga 2.76, 4 P 2.94
3 P 0.7500 0.2500 0.5000  4 P 2.29
4 P 0.2500 0.7500 0.5000  4 P 2.29
5 Ga 0.0000 0.0000 0.0000  8 Ag 2.76



Crystalline GaAgPb3 at its relaxed geometry, computed with PBEsol.

Results
- Total moment: 0.0 μB/cell
- Calculated volume: 157.8 Å³/cell
- Energy of formation from the pure elements: 0.499 eV per atom
- Raw total energy: -3.230 eV per atom
- Density of states at the Fermi level: 2.78 states/eV/cell

Unit cell a=5.4037 b=5.4037 c=5.4037 alpha=90.00 beta=90.00 gamma=90.00
With the nearest neighbours (Å) after each atom.
Fractional coordinates of all 5 atoms:
1 Pb 0.5000 0.0000 0.0000  2 Ag 2.70
2 Pb 0.0000 0.5000 0.0000  2 Ag 2.70
3 Pb 0.0000 0.0000 0.5000  2 Ag 2.70
4 Ga 0.5000 0.5000 0.5000  12 Pb 3.82
5 Ag 0.0000 0.0000 0.0000  6 Pb 2.70



Crystalline GaAg3Pd at its relaxed geometry, computed with PBEsol.

Results
- Total moment: 0.0 μB/cell
- Calculated volume: 121.5 Å³/cell
- Energy of formation from the pure elements: 0.817 eV per atom
- Raw total energy: -3.029 eV per atom
- Density of states at the Fermi level: 2.10 states/eV/cell

Unit cell a=4.9533 b=4.9533 c=4.9533 alpha=90.00 beta=90.00 gamma=90.00
With the nearest neighbours (Å) after each atom.
Fractional coordinates of all 5 atoms:
1 Ag 0.0000 0.0000 0.5000  2 Pd 2.48
2 Ag 0.0000 0.5000 0.0000  2 Pd 2.48
3 Ag 0.5000 0.0000 0.0000  2 Pd 2.48
4 Ga 0.5000 0.5000 0.5000  12 Ag 3.50
5 Pd 0.0000 0.0000 0.0000  6 Ag 2.48



Crystalline Pm2GaAg at its relaxed geometry, computed with PBEsol.

Results
- Total moment: 0.0 μB/cell
- Calculated volume: 96.6 Å³/cell
- Energy of formation from the pure elements: -0.418 eV per atom
- Raw total energy: -4.649 eV per atom
- Density of states at the Fermi level: 4.60 states/eV/cell

Unit cell a=5.1505 b=5.1505 c=5.1505 alpha=60.00 beta=60.00 gamma=60.00
With the nearest neighbours (Å) after each atom.
Fractional coordinates of all 4 atoms:
1 Ag 0.5000 0.5000 0.5000  8 Pm 3.15
2 Pm 0.2500 0.2500 0.2500  4 Ga 3.15, 4 Ag 3.15
3 Pm 0.7500 0.7500 0.7500  4 Ag 3.15, 4 Ga 3.15
4 Ga 0.0000 0.0000 0.0000  8 Pm 3.15



Crystalline Pr2GaAg at its relaxed geometry, computed with PBEsol.

Results
- Total moment: 0.0 μB/cell
- Calculated volume: 100.7 Å³/cell
- Energy of formation from the pure elements: -0.390 eV per atom
- Raw total energy: -4.645 eV per atom
- Density of states at the Fermi level: 4.87 states/eV/cell

Unit cell a=5.2228 b=5.2228 c=5.2228 alpha=60.00 beta=60.00 gamma=60.00
With the nearest neighbours (Å) after each atom.
Fractional coordinates of all 4 atoms:
1 Pr 0.7500 0.7500 0.7500  4 Ag 3.20, 4 Ga 3.20
2 Pr 0.2500 0.2500 0.2500  4 Ag 3.20, 4 Ga 3.20
3 Ag 0.0000 0.0000 0.0000  8 Pr 3.20
4 Ga 0.5000 0.5000 0.5000  8 Pr 3.20